[1]
First-principles (GGA-PBE) data for Pr6Si2Se3Cl after structural relaxation, as listed in Alexandria via LeMat-Bulk.

Summary:
The crystal system is monoclinic. The value obtained for the formation energy from raw total energies is -1459 meV/atom.

a = 18.6609 Å, b = 4.2584 Å, c = 8.6315 Å
α = 90.00°, β = 102.86°, γ = 90.00°
Closest atoms and distances in Å follow each position.
Space group C2/m (No. 12)
Unique sites:
Pr 0.0075 0.0000 0.2684 [4 per cell]  1 Si 2.89, 3 Se 2.95-3.09, 2 Cl 3.13
Pr 0.1694 0.5000 0.5784 [4 per cell]  3 Si 2.99-3.00, 3 Se 3.08-3.11
Pr 0.1726 0.5000 0.1014 [4 per cell]  2 Si 2.94, 3 Se 3.01-3.09, 1 Cl 3.14
Si 0.1662 0.0000 0.3323 [4 per cell]  6 Pr 2.89-3.00
Se 0.0000 0.5000 0.5000 [2 per cell]  6 Pr 2.95-3.08
Se 0.1621 0.0000 0.8374 [4 per cell]  6 Pr 3.01-3.11
Cl 0.0000 0.5000 0.0000 [2 per cell]  6 Pr 3.13-3.14

---

[2]
First-principles (GGA-PBE) data for ScCd2ReC after structural relaxation, as listed in Alexandria via LeMat-Bulk.

Summary:
The crystal system is tetragonal. Its calculated formation energy is 13.32 eV per formula unit.

a = 5.4526 Å, b = 5.4526 Å, c = 4.6073 Å
α = 90.00°, β = 90.00°, γ = 90.00°
Closest atoms and distances in Å follow each position.
Space group P4/mmm (No. 123)
Unique sites:
Sc 0.0000 0.0000 0.0000 [1 per cell]  2 Re 2.30
Cd 0.0000 0.5000 0.0000 [2 per cell]  2 Sc 2.73
Re 0.0000 0.0000 0.5000 [1 per cell]  2 Sc 2.30
C 0.5000 0.5000 0.5000 [1 per cell]  8 Cd 3.57, 4 Re 3.86

---

no.,calculated total energy (eV per atom)
1,-5.777
2,-3.302